# 1
Compound: Ta2BeMo
Source: Alexandria via LeMat-Bulk
Functional: PBE
Structure: relaxed

Cell lengths 2.7739, 2.7739, 8.2255 Å; angles 90.00, 90.00, 103.46 degrees
Element x y z (fractional)
Ta 0.0000 0.0000 0.0000
Ta 0.5000 0.5000 0.2917
Be 0.5000 0.5000 0.7762
Mo 0.0000 0.0000 0.5706

Output
energy relative to the elements = 0.23 eV per formula unit
space-group type = Cmm2
calculated volume = 15.39 A^3/atom

=====

# 2
Compound: TaBeMo2
Source: Alexandria via LeMat-Bulk
Functional: PBE
Structure: relaxed

Cell lengths 9.1475, 9.1475, 9.1475 Å; angles 17.64, 17.64, 17.64 degrees
Element x y z (fractional)
Ta 0.0000 0.0000 0.0000
Be 0.5000 0.5000 0.5000
Mo 0.2403 0.2403 0.2403
Mo 0.7597 0.7597 0.7597

Output
energy relative to the elements = 1.46 eV per formula unit
space-group type = R-3m
calculated volume = 15.33 A^3/atom

=====

# 3
Compound: TaBe2Mo
Source: Alexandria via LeMat-Bulk
Functional: PBE
Structure: relaxed

Cell lengths 3.8390, 3.8390, 3.4872 Å; angles 90.00, 90.00, 90.00 degrees
Element x y z (fractional)
Ta 0.0000 0.0000 0.0000
Be 0.0000 0.5000 0.5000
Be 0.5000 0.0000 0.5000
Mo 0.5000 0.5000 0.0000

Output
energy relative to the elements = 0.03 eV per formula unit
E above lowest polymorph = 242 meV/atom
space-group type = P4/mmm
calculated volume = 12.85 A^3/atom

=====

# 4
Compound: TaBeMo
Source: Alexandria via LeMat-Bulk
Functional: PBE
Structure: relaxed

Cell lengths 4.9557, 4.9557, 6.5208 Å; angles 120.84, 120.84, 38.88 degrees
Element x y z (fractional)
Ta 0.0870 0.0870 0.3303
Ta 0.9130 0.9130 0.6697
Be 0.3793 0.3793 0.3507
Be 0.6207 0.6207 0.6493
Mo 0.3169 0.3169 0.9206
Mo 0.6831 0.6831 0.0794

Output
energy relative to the elements = -0.49 eV per formula unit
E above lowest polymorph = 9 meV/atom
space-group type = C2/m
calculated volume = 14.06 A^3/atom

=====

# 5
Compound: TaBeMo2
Source: Alexandria via LeMat-Bulk
Functional: PBE
Structure: relaxed

Cell lengths 3.7446, 3.7446, 4.2624 Å; angles 90.00, 90.00, 90.00 degrees
Element x y z (fractional)
Ta 0.0000 0.0000 0.0000
Be 0.5000 0.5000 0.0000
Mo 0.0000 0.5000 0.5000
Mo 0.5000 0.0000 0.5000

Output
energy relative to the elements = 0.28 eV per formula unit
space-group type = P4/mmm
calculated volume = 14.94 A^3/atom

=====

# 6
Compound: TaBeMo
Source: Alexandria via LeMat-Bulk
Functional: PBE
Structure: relaxed

Cell lengths 4.4363, 4.4363, 2.6448 Å; angles 90.00, 90.00, 120.00 degrees
Element x y z (fractional)
Ta 0.0000 0.0000 0.0000
Be 0.3333 0.6667 0.3773
Mo 0.6667 0.3333 0.6546

Output
energy relative to the elements = 0.54 eV per formula unit
E above lowest polymorph = 352 meV/atom
space-group type = P3m1
calculated volume = 15.03 A^3/atom